No. 1
A plane-wave DFT calculation with GGA-PBE was carried out for a relaxed structure of SmDyBi2.

```
SmDyBi2
1.0
4.518 0.011 0.019
2.244 3.921 0.019
2.234 1.299 7.382
Sm Dy Bi
1 1 2
Direct
0.500 0.500 0.500 Sm
0.000 0.000 0.000 Dy
0.748 0.748 0.756 Bi
0.252 0.252 0.244 Bi
```

Results
Its symmetry is C2/m, No. 12. The calculation puts the density of states at the Fermi level at 0.74 states/eV/f.u. The formation energy comes out at -891 meV/atom. Its energy is -5.16 eV/atom. The total magnetization comes out at 0.00 μB/f.u.



No. 2
A plane-wave DFT calculation with GGA-PBE was carried out for a relaxed structure of SmDy3Bi2.

```
SmDy3Bi2
1.0
4.362 0.000 0.000
-2.181 10.563 -0.621
0.000 -5.366 8.413
Sm Dy Bi
2 6 4
Direct
0.889 0.778 0.893 Sm
0.111 0.222 0.107 Sm
0.312 0.624 0.514 Dy
0.943 0.886 0.557 Dy
0.640 0.280 0.803 Dy
0.360 0.720 0.197 Dy
0.057 0.114 0.443 Dy
0.688 0.376 0.486 Dy
0.490 0.980 0.823 Bi
0.510 0.020 0.177 Bi
0.751 0.502 0.216 Bi
0.249 0.498 0.784 Bi
```

Results
Its symmetry is C2/m, No. 12. The calculation puts the density of states at the Fermi level at 6.65 states/eV/f.u. The formation energy comes out at -499 meV/atom. Its energy is -4.88 eV/atom. The total magnetization comes out at 0.00 μB/f.u.



Q: Which value of total magnetization does entry 2 give?
A: 0.00 μB/f.u.